1.
## Lu2TeO6 (GGA-PBEsol)

Data for a relaxed structure of Lu2TeO6.

Calculated values
- Spin magnetization: 0.00 Bohr magnetons per cell
- Uncorrected formation energy: -2.61 eV per atom
- Calculated volume: 12.780 Å³/atom
- DFT total energy: -136.50 eV for the cell shown
- ρ: 8.3 g cm⁻³

Cell: 4.851 4.851 9.774 Å, 90.00 90.00 90.00°
Space group P4_2/mnm (No. 136)
Symmetry-distinct sites (fractional):
Lu (0.000, 0.000, 0.165) x4
Te (0.000, 0.000, 0.500) x2
O (0.186, 0.186, 0.350) x8
O (0.216, 0.216, 0.000) x4

***

2.
## Cu2RhAu (GGA-PBEsol)

Data for a relaxed structure of Cu2RhAu.

Calculated values
- Spin magnetization: 0.01 Bohr magnetons per cell
- Calculated volume: 13.324 Å³/atom
- DFT total energy: -40.84 eV for the cell shown
- Formation energy from the elements: 0.0781 eV/atom
- ρ: 13.3 g cm⁻³

Cell: 9.143 2.740 4.455 Å, 90.00 107.25 90.00°
Space group Cm (No. 8)
Symmetry-distinct sites (fractional):
Cu (0.000, 0.000, 0.000) x2
Cu (0.230, 0.500, 0.295) x2
Rh (0.480, 0.000, 0.480) x2
Au (0.246, 0.000, 0.805) x2

***

3.
## KSb2IBr (GGA-PBEsol)

Data for a relaxed structure of KSb2IBr.

Calculated values
- Spin magnetization: 2.27 Bohr magnetons per cell
- Uncorrected formation energy: 0.19 eV per atom
- Calculated volume: 43.594 Å³/atom
- DFT total energy: -12.94 eV for the cell shown
- ρ: 3.7 g cm⁻³

Cell: 5.436 5.436 7.377 Å, 90.00 90.00 90.00°
Space group P4/mmm (No. 123)
Symmetry-distinct sites (fractional):
K (0.000, 0.000, 0.000) x1
Sb (0.000, 0.500, 0.500) x2
I (0.500, 0.500, 0.000) x1
Br (0.500, 0.500, 0.500) x1

***

4.
## KCu4As2 (GGA-PBEsol)

Data for a relaxed structure of KCu4As2.

Calculated values
- Spin magnetization: 0.00 Bohr magnetons per cell
- Calculated volume: 17.409 Å³/atom
- DFT total energy: -89.61 eV for the cell shown
- Formation energy from the elements: -0.1698 eV/atom
- ρ: 6.0 g cm⁻³

Cell: 4.0633 4.0633 25.5685 Å, 90.00 90.00 120.00°
Space group R-3m (No. 166, hexagonal axes)
Symmetry-distinct sites (fractional):
K (0.0000, 0.0000, 0.0000) x3
Cu (0.0000, 0.0000, 0.1454) x6
Cu (0.0000, 0.0000, 0.4469) x6
As (0.0000, 0.0000, 0.2416) x6

***

5.
## YBe2Pt (GGA-PBEsol)

Data for a relaxed structure of YBe2Pt.

Calculated values
- Spin magnetization: 0.00 Bohr magnetons per cell
- Calculated volume: 16.222 Å³/atom
- DFT total energy: -48.22 eV for the cell shown
- Formation energy from the elements: -0.5809 eV/atom
- ρ: 7.7 g cm⁻³

Cell: 6.816 3.931 5.327 Å, 90.00 114.61 90.00°
Space group Cm (No. 8)
Symmetry-distinct sites (fractional):
Y (0.000, 0.000, 0.000) x2
Be (0.189, 0.000, 0.568) x2
Be (0.485, 0.000, 0.456) x2
Pt (0.306, 0.500, 0.419) x2

***

6.
## BaAlPt2 (GGA-PBEsol)

Data for a relaxed structure of BaAlPt2.

Calculated values
- Spin magnetization: 0.00 Bohr magnetons per cell
- Calculated volume: 20.311 Å³/atom
- DFT total energy: -20.90 eV for the cell shown
- Formation energy from the elements: -0.1827 eV/atom
- ρ: 11.3 g cm⁻³

Cell: 5.148 5.148 3.066 Å, 90.00 90.00 90.00°
Space group P4/mmm (No. 123)
Symmetry-distinct sites (fractional):
Ba (0.000, 0.000, 0.000) x1
Al (0.500, 0.500, 0.000) x1
Pt (0.000, 0.500, 0.500) x2

***

7.
## Si2MoIr (GGA-PBEsol)

Data for a relaxed structure of Si2MoIr.

Calculated values
- Spin magnetization: 0.00 Bohr magnetons per cell
- Uncorrected formation energy: -0.30 eV per atom
- Calculated volume: 13.593 Å³/atom
- DFT total energy: -68.57 eV for the cell shown
- ρ: 10.5 g cm⁻³

Cell: 3.513 3.513 8.811 Å, 90.00 90.00 90.00°
Space group I-4m2 (No. 119)
Symmetry-distinct sites (fractional):
Si (0.000, 0.000, 0.000) x2
Si (0.000, 0.500, 0.250) x2
Mo (0.000, 0.500, 0.750) x2
Ir (0.000, 0.000, 0.500) x2

***

8.
## ZrCo2Se (GGA-PBEsol)

Data for a relaxed structure of ZrCo2Se.

Calculated values
- Spin magnetization: 0.71 Bohr magnetons per cell
- Uncorrected formation energy: -0.30 eV per atom
- Calculated volume: 15.077 Å³/atom
- DFT total energy: -29.63 eV for the cell shown
- ρ: 7.9 g cm⁻³

Cell: 3.277 3.783 4.865 Å, 90.00 90.00 90.00°
Space group Pmmm (No. 47)
Symmetry-distinct sites (fractional):
Zr (0.000, 0.000, 0.000) x1
Co (0.500, 0.500, 0.239) x2
Se (0.500, 0.000, 0.500) x1

***

9.
## Co2GeN (GGA-PBEsol)

Data for a relaxed structure of Co2GeN.

Calculated values
- Spin magnetization: 9.40 Bohr magnetons per cell
- Uncorrected formation energy: 0.66 eV per atom
- Calculated volume: 10.196 Å³/atom
- DFT total energy: -105.22 eV for the cell shown
- ρ: 8.3 g cm⁻³

Cell: 5.464 5.464 5.464 Å, 90.00 90.00 90.00°
Space group Fm-3m (No. 225)
Symmetry-distinct sites (fractional):
Co (0.250, 0.250, 0.250) x8
Ge (0.000, 0.000, 0.000) x4
N (0.000, 0.000, 0.500) x4

***

10.
## Sr2AgPb (GGA-PBEsol)

Data for a relaxed structure of Sr2AgPb.

Calculated values
- Spin magnetization: 0.00 Bohr magnetons per cell
- Calculated volume: 29.003 Å³/atom
- DFT total energy: -46.39 eV for the cell shown
- Formation energy from the elements: -0.1516 eV/atom
- ρ: 7.0 g cm⁻³

Cell: 7.742 7.742 7.742 Å, 90.00 90.00 90.00°
Space group F-43m (No. 216)
Symmetry-distinct sites (fractional):
Sr (0.000, 0.000, 0.000) x4
Sr (0.250, 0.250, 0.250) x4
Ag (0.250, 0.250, 0.750) x4
Pb (0.000, 0.000, 0.500) x4

***

11.
## CsCrCl3 (GGA-PBEsol)

Data for a relaxed structure of CsCrCl3.

Calculated values
- Spin magnetization: 16.00 Bohr magnetons per cell
- Uncorrected formation energy: -1.36 eV per atom
- Calculated volume: 26.838 Å³/atom
- DFT total energy: -95.95 eV for the cell shown
- ρ: 3.6 g cm⁻³

Cell: 12.390 7.102 6.102 Å, 90.00 91.50 90.00°
Space group C2/m (No. 12)
Symmetry-distinct sites (fractional):
Cs (0.168, 0.000, 0.253) x4
Cr (0.000, 0.500, 0.000) x2
Cr (0.000, 0.500, 0.500) x2
Cl (0.077, 0.265, 0.735) x8
Cl (0.161, 0.500, 0.215) x4

***

12.
## ZrTa4Be (GGA-PBEsol)

Data for a relaxed structure of ZrTa4Be.

Calculated values
- Spin magnetization: 0.00 Bohr magnetons per cell
- Calculated volume: 18.723 Å³/atom
- DFT total energy: -241.01 eV for the cell shown
- Formation energy from the elements: 0.5070 eV/atom
- ρ: 12.2 g cm⁻³

Cell: 7.659 7.659 7.659 Å, 90.00 90.00 90.00°
Space group F-43m (No. 216)
Symmetry-distinct sites (fractional):
Zr (0.000, 0.000, 0.000) x4
Ta (0.126, 0.126, 0.626) x16
Be (0.250, 0.250, 0.250) x4

***

13.
## Tc3Pb (GGA-PBEsol)

Data for a relaxed structure of Tc3Pb.

Calculated values
- Spin magnetization: 1.37 Bohr magnetons per cell
- Calculated volume: 15.875 Å³/atom
- DFT total energy: -34.74 eV for the cell shown
- Formation energy from the elements: 0.7651 eV/atom
- ρ: 13.1 g cm⁻³

Cell: 3.990 3.990 3.990 Å, 90.00 90.00 90.00°
Space group Pm-3m (No. 221)
Symmetry-distinct sites (fractional):
Tc (0.000, 0.000, 0.500) x3
Pb (0.500, 0.500, 0.500) x1

***

14.
## Zr2GaS (GGA-PBEsol)

Data for a relaxed structure of Zr2GaS.

Calculated values
- Spin magnetization: 0.00 Bohr magnetons per cell
- Uncorrected formation energy: -0.66 eV per atom
- Calculated volume: 17.474 Å³/atom
- DFT total energy: -114.24 eV for the cell shown
- ρ: 6.8 g cm⁻³

Cell: 6.539 6.539 6.539 Å, 90.00 90.00 90.00°
Space group Fm-3m (No. 225)
Symmetry-distinct sites (fractional):
Zr (0.250, 0.250, 0.250) x8
Ga (0.000, 0.000, 0.000) x4
S (0.000, 0.000, 0.500) x4

***

15.
## Ta3AlCd (GGA-PBEsol)

Data for a relaxed structure of Ta3AlCd.

Calculated values
- Spin magnetization: 0.00 Bohr magnetons per cell
- Calculated volume: 20.407 Å³/atom
- DFT total energy: -36.51 eV for the cell shown
- Formation energy from the elements: 1.2857 eV/atom
- ρ: 11.1 g cm⁻³

Cell: 4.673 4.673 4.673 Å, 90.00 90.00 90.00°
Space group Pm-3m (No. 221)
Symmetry-distinct sites (fractional):
Ta (0.000, 0.000, 0.500) x3
Al (0.000, 0.000, 0.000) x1
Cd (0.500, 0.500, 0.500) x1

***

16.
## H2AuN (GGA-PBEsol)

Data for a relaxed structure of H2AuN.

Calculated values
- Spin magnetization: 0.00 Bohr magnetons per cell
- Calculated volume: 7.675 Å³/atom
- DFT total energy: -130.28 eV for the cell shown
- ρ: 11.5 g cm⁻³

Cell: 6.263 6.263 6.263 Å, 90.00 90.00 90.00°
Space group Fd-3m (No. 227, origin choice 2)
Symmetry-distinct sites (fractional):
H (0.000, 0.000, 0.000) x16
Au (0.125, 0.125, 0.625) x8
N (0.125, 0.125, 0.125) x8

***

17.
## YCuPb (GGA-PBEsol)

Data for a relaxed structure of YCuPb.

Calculated values
- Spin magnetization: 0.00 Bohr magnetons per cell
- Calculated volume: 21.655 Å³/atom
- DFT total energy: -33.01 eV for the cell shown
- Formation energy from the elements: -0.4493 eV/atom
- ρ: 9.2 g cm⁻³

Cell: 4.5454 4.5454 7.2617 Å, 90.00 90.00 120.00°
Space group P6_3mc (No. 186)
Symmetry-distinct sites (fractional):
Y (0.0000, 0.0000, 0.0000) x2
Cu (0.3333, 0.6667, 0.1756) x2
Pb (0.3333, 0.6667, 0.7698) x2

***

18.
## In2RuPt (GGA-PBEsol)

Data for a relaxed structure of In2RuPt.

Calculated values
- Spin magnetization: 0.01 Bohr magnetons per cell
- Calculated volume: 17.037 Å³/atom
- DFT total energy: -89.56 eV for the cell shown
- Formation energy from the elements: 0.1780 eV/atom
- ρ: 12.8 g cm⁻³

Cell: 6.484 6.484 6.484 Å, 90.00 90.00 90.00°
Space group F-43m (No. 216)
Symmetry-distinct sites (fractional):
In (0.000, 0.000, 0.000) x4
In (0.250, 0.250, 0.250) x4
Ru (0.250, 0.250, 0.750) x4
Pt (0.000, 0.000, 0.500) x4

***

19.
## MnZnPt4 (GGA-PBEsol)

Data for a relaxed structure of MnZnPt4.

Calculated values
- Spin magnetization: 17.05 Bohr magnetons per cell
- Calculated volume: 16.297 Å³/atom
- DFT total energy: -156.19 eV for the cell shown
- Formation energy from the elements: 0.0249 eV/atom
- ρ: 15.3 g cm⁻³

Cell: 7.313 7.313 7.313 Å, 90.00 90.00 90.00°
Space group F-43m (No. 216)
Symmetry-distinct sites (fractional):
Mn (0.000, 0.000, 0.000) x4
Zn (0.250, 0.250, 0.250) x4
Pt (0.125, 0.125, 0.625) x16

***

20.
## MoOs (GGA-PBEsol)

Data for a relaxed structure of MoOs.

Calculated values
- Spin magnetization: 0.00 Bohr magnetons per cell
- Calculated volume: 14.851 Å³/atom
- DFT total energy: -94.69 eV for the cell shown
- Formation energy from the elements: 0.1551 eV/atom
- ρ: 16.0 g cm⁻³

Cell: 2.747 10.021 4.316 Å, 90.00 90.00 90.00°
Space group Cmcm (No. 63)
Symmetry-distinct sites (fractional):
Mo (0.000, 0.171, 0.250) x4
Os (0.000, 0.433, 0.250) x4